5
Lattice="-2.188 3.300 -0.398 -0.630 0.055 3.929 3.192 2.174 0.481" Properties=species:S:1:pos:R:3 comment="TiMn2SnH, relaxed, DFT PBE" crystal_system=tetragonal magmom_total_mub_per_cell=3.2 space_group="P4/mmm (123)" energy_ev_per_atom=-6.88 pbc="T T T"
Sn 0.187 2.765 2.006
Mn -1.094 1.650 -0.199
Mn -0.315 0.028 1.964
Ti 1.596 1.087 0.241
H 0.000 0.000 0.000

---

4
Lattice="3.795 0.000 0.000 0.000 3.795 0.000 0.000 0.000 7.589" Properties=species:S:1:pos:R:3 comment="SmDyIn2, relaxed, DFT PBE" relative_energy_mev_per_atom=0 crystal_system=tetragonal delta_e_f_ev_per_atom=-0.48 magmom_total_mub_per_cell=0.0 space_group="P4/mmm (123)" energy_ev_per_atom=-4.18 pbc="T T T"
Dy 1.898 1.898 0.000
In 0.000 0.000 5.750
In 0.000 0.000 1.839
Sm 1.898 1.898 3.795

---

12
Lattice="-3.528 3.660 -2.707 -3.639 -5.582 -2.804 -1.943 2.785 6.297" Properties=species:S:1:pos:R:3 comment="PrCdGaPt3, relaxed, DFT PBE" crystal_system=orthorhombic delta_e_f_ev_per_atom=-0.52 magmom_total_mub_per_cell=0.0 space_group="Cmcm (63)" energy_ev_per_atom=-5.00 pbc="T T T"
Cd -3.044 2.744 -1.512
Pt -2.228 0.913 1.074
Pt -6.881 -0.050 -0.289
Pt -2.536 -3.890 -1.954
Pr -4.164 -1.878 -0.177
Pt -4.300 -2.060 -3.308
Cd -6.065 -1.881 2.297
Ga -5.403 -0.047 -2.213
Pr -4.946 2.741 0.962
Pt -1.103 -1.692 -0.850
Ga -3.707 0.910 2.998
Pt -2.867 0.138 -2.204